# ScCrSi2

A relaxed ScCrSi2 crystal (GGA-PBE, the Alexandria database).

Unit cell a=3.632 b=3.733 c=9.329 alpha=90.00 beta=90.00 gamma=90.00
Space group Amm2 (No. 38)
Asymmetric unit:
Sc 0.000 0.000 0.000 x2
Cr 0.500 0.000 0.726 x2
Si 0.000 0.000 0.276 x2
Si 0.500 0.000 0.445 x2

Values from the calculation:
Energy above the most stable polymorph in this dataset: 0.035 eV/atom

=====

# ScCr2Si

A relaxed ScCr2Si crystal (GGA-PBE, the Alexandria database).

Unit cell a=3.823 b=3.823 c=17.626 alpha=90.00 beta=90.00 gamma=90.00
Space group I-42d (No. 122)
Asymmetric unit:
Sc 0.000 0.000 0.000 x4
Cr 0.148 0.250 0.625 x8
Si 0.000 0.000 0.500 x4

=====

# ScCrSi2

A relaxed ScCrSi2 crystal (GGA-PBE, the Alexandria database).

Unit cell a=2.9641 b=2.9641 c=24.8140 alpha=90.00 beta=90.00 gamma=120.00
Space group R3m (No. 160, hexagonal axes)
Asymmetric unit:
Sc 0.0000 0.0000 0.0000 x3
Cr 0.0000 0.0000 0.2448 x3
Si 0.0000 0.0000 0.5046 x3
Si 0.0000 0.0000 0.7594 x3

Values from the calculation:
Energy above the most stable polymorph in this dataset: 0.609 eV/atom

=====

# ScCr2Si

A relaxed ScCr2Si crystal (GGA-PBE, the Alexandria database).

Unit cell a=3.312 b=4.258 c=8.000 alpha=90.00 beta=90.00 gamma=90.00
Space group Cmmm (No. 65)
Asymmetric unit:
Sc 0.000 0.000 0.000 x2
Cr 0.000 0.500 0.284 x4
Si 0.000 0.000 0.500 x2

=====

# ScCr2Si

A relaxed ScCr2Si crystal (GGA-PBE, the Alexandria database).

Unit cell a=3.231 b=4.188 c=8.290 alpha=90.00 beta=90.00 gamma=90.00
Space group Immm (No. 71)
Asymmetric unit:
Sc 0.000 0.000 0.000 x2
Cr 0.000 0.500 0.246 x4
Si 0.000 0.000 0.500 x2

=====

# ScCr2Si

A relaxed ScCr2Si crystal (GGA-PBE, the Alexandria database).

Unit cell a=3.128 b=4.248 c=8.432 alpha=90.00 beta=90.00 gamma=90.00
Space group Imm2 (No. 44)
Asymmetric unit:
Sc 0.000 0.000 0.000 x2
Cr 0.000 0.000 0.471 x2
Cr 0.000 0.500 0.765 x2
Si 0.000 0.500 0.223 x2

=====

# Sc2Cr4Si5

A relaxed Sc2Cr4Si5 crystal (GGA-PBE, the Alexandria database).

Unit cell a=7.558 b=16.118 c=4.892 alpha=90.00 beta=90.00 gamma=90.00
Space group Ibam (No. 72)
Asymmetric unit:
Sc 0.119 0.142 0.000 x8
Cr 0.000 0.309 0.250 x8
Cr 0.246 0.438 0.000 x8
Si 0.000 0.000 0.250 x4
Si 0.078 0.436 0.500 x8
Si 0.208 0.211 0.500 x8

=====

# ScCrSi2

A relaxed ScCrSi2 crystal (GGA-PBE, the Alexandria database).

Unit cell a=5.434 b=7.566 c=2.919 alpha=90.00 beta=90.15 gamma=90.00
Space group C2/m (No. 12)
Asymmetric unit:
Sc 0.000 0.000 0.000 x2
Cr 0.000 0.500 0.000 x2
Si 0.250 0.250 0.500 x4

Values from the calculation:
Energy above the most stable polymorph in this dataset: 0.238 eV/atom

=====

Per-record raw formation energy, eV per atom: -0.362 0.307 0.213 0.174 0.062 -0.057 -0.558 -0.158